# Y3Ag3GeO8 | Alexandria via LeMat-Bulk | PBE-GGA | relaxed
# DFT total energy ... -6.7777 eV per atom
# Formation energy (no corrections) ... -1.962 eV per atom
data_Y3Ag3GeO8
_chemical_formula_sum 'Y3 Ag3 Ge1 O8'
_space_group_name_H-M_alt 'P 1'
_space_group_IT_number 1
_space_group_name_Hall 'P 1'
_cell_length_a 6.7667
_cell_length_b 6.7647
_cell_length_c 6.8910
_cell_angle_alpha 119.50
_cell_angle_beta 90.00
_cell_angle_gamma 120.01
loop_
_atom_site_label
_atom_site_fract_x
_atom_site_fract_y
_atom_site_fract_z
_atom_site_occupancy
Y1 0.5000 0.0000 0.5000 1
Y2 0.5000 0.5000 0.5000 1
O1 0.7275 0.4550 0.6819 1
Ag1 0.0000 0.5000 0.0000 1
Ag2 0.0000 0.0000 0.0000 1
O2 0.2059 0.4118 0.6855 1
O3 0.7743 0.9804 0.6858 1
O4 0.2257 0.0196 0.3142 1
Ge1 0.0000 0.0000 0.5000 1
Ag3 0.5000 0.5000 0.0000 1
O5 0.7941 0.5882 0.3145 1
O6 0.2061 0.9804 0.6858 1
O7 0.7939 0.0196 0.3142 1
O8 0.2725 0.5450 0.3181 1
Y3 0.0000 0.5000 0.5000 1